# 1
Entry from Alexandria via LeMat-Bulk: an optimized crystal structure of AgTe2Pt (PBE).

## Properties
volume = 22.18 Å³/atom
uncorrected formation energy = 1.67 eV per formula unit

Cell and atoms, written as POSCAR:
```
AgTe2Pt
1.0
5.006 0.000 0.000
2.503 4.335 0.000
2.503 1.445 4.087
Te Ag Pt
2 1 1
Direct
0.000 0.000 0.000
0.250 0.250 0.250
0.500 0.500 0.500
0.750 0.750 0.750
```

=====

# 2
Entry from Alexandria via LeMat-Bulk: an optimized crystal structure of AgTe2Pt (PBE).

## Properties
volume = 29.87 Å³/atom
uncorrected formation energy = -0.18 eV per formula unit

Cell and atoms, written as POSCAR:
```
AgTe2Pt
1.0
6.309 0.000 0.000
0.000 6.309 0.000
3.155 3.155 6.002
Te Ag Pt
4 2 2
Direct
0.652 0.125 0.250
0.098 0.625 0.250
0.375 0.348 0.750
0.875 0.902 0.750
0.500 0.500 0.000
0.250 0.750 0.500
0.000 0.000 0.000
0.750 0.250 0.500
```

=====

# 3
Entry from Alexandria via LeMat-Bulk: an optimized crystal structure of AgTe2Pt (PBE).

## Properties
volume = 26.33 Å³/atom
uncorrected formation energy = -0.63 eV per formula unit

Cell and atoms, written as POSCAR:
```
AgTe2Pt
1.0
-2.928 -1.189 5.788
0.658 -5.496 3.585
3.206 4.853 -3.108
Te Ag Pt
2 1 1
Direct
0.097 0.097 0.000
0.403 0.403 0.000
0.750 0.250 0.500
0.250 0.750 0.500
```

=====

# 4
Entry from Alexandria via LeMat-Bulk: an optimized crystal structure of Ag2Te2Pt (PBE).

## Properties
volume = 23.69 Å³/atom
uncorrected formation energy = 0.53 eV per formula unit

Cell and atoms, written as POSCAR:
```
Ag2Te2Pt
1.0
7.344 0.000 0.000
0.000 7.344 0.000
0.000 0.000 4.393
Te Ag Pt
4 4 2
Direct
0.324 0.824 0.000
0.824 0.676 0.000
0.676 0.176 0.000
0.176 0.324 0.000
0.139 0.639 0.500
0.639 0.861 0.500
0.861 0.361 0.500
0.361 0.139 0.500
0.000 0.000 0.000
0.500 0.500 0.000
```

=====

# 5
Entry from Alexandria via LeMat-Bulk: an optimized crystal structure of Ag4TePt (PBE).

## Properties
volume = 19.50 Å³/atom
uncorrected formation energy = 1.54 eV per formula unit

Cell and atoms, written as POSCAR:
```
Ag4TePt
1.0
2.559 -0.587 4.821
-0.740 3.718 3.971
-2.872 -1.314 4.490
Ag Te Pt
4 1 1
Direct
0.874 0.375 0.375
0.375 0.375 0.874
0.375 0.874 0.375
0.375 0.375 0.375
0.000 0.000 0.000
0.750 0.750 0.750
```

=====

# 6
Entry from Alexandria via LeMat-Bulk: an optimized crystal structure of AgTe2Pt (PBE).

## Properties
volume = 27.25 Å³/atom
uncorrected formation energy = -0.49 eV per formula unit

Cell and atoms, written as POSCAR:
```
AgTe2Pt
1.0
-1.458 5.130 -0.408
-4.540 2.668 -0.939
-1.904 1.257 5.221
Te Ag Pt
2 1 1
Direct
0.904 0.904 0.102
0.704 0.704 0.706
0.592 0.592 0.288
0.300 0.300 0.404
```